Material: Pr2DyCd6
Method: DFT, PBE-GGA
State: relaxed

For the total energy, the calculation gives -2.517 eV per atom. For the mass density, the calculation gives 8.043 g/cm3. Its formation energy is -0.33 eV per atom. Its size of the total moment is 0.38 μB/f.u.

Cell: 8.7882 8.7882 3.4534 Å, 90.00 90.00 120.00°
With the nearest neighbours (Å) after each atom.
Space group P6/mmm (No. 191)
Asymmetric unit:
Pr: 0.3333 0.6667 0.0000 (multiplicity 2)  12 Cd 3.42, 2 Pr 3.45
Dy: 0.0000 0.0000 0.0000 (multiplicity 1)  12 Cd 3.37, 2 Dy 3.45
Cd: 0.0000 0.3295 0.5000 (multiplicity 6)  3 Cd 2.90-3.00